KMnFeCl6: optimized geometry, GGA-PBE.

Summary:
The value obtained for the magnetic moment is 9.358 μB/cell. Its density is 2.41 g/cm3. The space group is P1 (1). Its calculated total energy is -4.450 eV per atom. The value obtained for the formation energy from raw total energies is -1.138 eV/atom.

a = 6.5181 Å, b = 6.4252 Å, c = 6.9717 Å
α = 89.83°, β = 88.66°, γ = 58.88°
Site moments in Bohr magnetons follow the coordinates.
Positions (direct):
K  0.9983  0.0049  0.0004  0.00
Mn  0.6656  0.6673  0.4993  -4.20
Fe  0.3329  0.3438  0.5007  -3.79
Cl  0.0047  0.3717  0.3043  -0.10
Cl  0.3774  0.0012  0.7017  -0.10
Cl  0.6249  0.3669  0.6950  -0.12
Cl  0.0115  0.6179  0.7074  -0.15
Cl  0.3668  0.6215  0.2949  -0.15
Cl  0.6177  0.0048  0.2963  -0.11